A relaxed structure of Dy2HoSn9, computed with GGA-PBE.

## Properties
Formation enthalpy at 0 K, eV/atom: -0.416
Space-group type: P4/mmm
E, hartree per atom: -0.1678
DOS(E_F), states/eV/f.u.: 5.01

abc: 4.7903 4.7903 13.6705
angles: 90.00 90.00 90.00
With the nearest neighbours (Å) after each atom.
Atoms (fractional coordinates):
Sn (0.5000, 0.5000, 0.3331)  8 Sn 3.31, 4 Dy 3.39
Sn (0.5000, 0.5000, 0.0000)  8 Sn 3.30, 4 Ho 3.39
Sn (0.5000, 0.0000, 0.1662)  8 Sn 3.30-3.39, 2 Ho 3.30, 2 Dy 3.31
Sn (0.5000, 0.0000, 0.5000)  4 Dy 3.31, 8 Sn 3.31-3.39
Sn (0.5000, 0.5000, 0.6669)  8 Sn 3.31, 4 Dy 3.39
Sn (0.0000, 0.5000, 0.5000)  4 Dy 3.31, 8 Sn 3.31-3.39
Sn (0.0000, 0.5000, 0.1662)  2 Ho 3.30, 8 Sn 3.30-3.39, 2 Dy 3.31
Sn (0.0000, 0.5000, 0.8338)  2 Ho 3.30, 8 Sn 3.30-3.39, 2 Dy 3.31
Sn (0.5000, 0.0000, 0.8338)  8 Sn 3.30-3.39, 2 Ho 3.30, 2 Dy 3.31
Dy (0.0000, 0.0000, 0.6667)  12 Sn 3.31-3.39
Dy (0.0000, 0.0000, 0.3333)  12 Sn 3.31-3.39
Ho (0.0000, 0.0000, 0.0000)  12 Sn 3.30-3.39